No. 1
A plane-wave DFT calculation with PBE-GGA was carried out for crystalline Cu4Ag3 at its relaxed geometry.

a = 13.0302 Å, b = 13.0302 Å, c = 13.0302 Å
α = 167.65°, β = 167.65°, γ = 17.51°
With the nearest neighbours (Å) after each atom.
Sites, in units of the cell vectors:
Ag1 0.2073 0.2073 0.0000  4 Cu 2.74, 8 Ag 2.80-2.96
Ag2 0.5000 0.5000 0.0000  8 Cu 2.75, 4 Ag 2.80
Ag3 0.7927 0.7927 0.0000  4 Cu 2.74, 8 Ag 2.80-2.96
Cu1 0.0741 0.0741 0.0000  8 Cu 2.51-2.80, 4 Ag 2.75
Cu2 0.3660 0.3660 0.0000  8 Cu 2.51-2.80, 4 Ag 2.74
Cu3 0.6340 0.6340 0.0000  8 Cu 2.51-2.80, 4 Ag 2.74
Cu4 0.9259 0.9259 0.0000  8 Cu 2.51-2.80, 4 Ag 2.75

As for the energy relative to the elements: 6.8 kJ per mole of atoms.

No. 2
A plane-wave DFT calculation with PBE-GGA was carried out for crystalline CuAg at its relaxed geometry.

a = 4.7756 Å, b = 4.7756 Å, c = 8.7576 Å
α = 90.85°, β = 90.85°, γ = 48.38°
With the nearest neighbours (Å) after each atom.
Sites, in units of the cell vectors:
Ag1 0.7019 0.7019 0.0936  5 Ag 2.74-2.86, 7 Cu 2.74-2.83
Ag2 0.4059 0.4059 0.1984  7 Cu 2.72-2.85, 5 Ag 2.75-2.82
Ag3 0.8027 0.8027 0.4055  7 Cu 2.73-2.79, 5 Ag 2.77-2.86
Ag4 0.1993 0.1993 0.6027  8 Cu 2.73-2.79, 4 Ag 2.77-2.78
Ag5 0.5918 0.5918 0.7994  9 Cu 2.66-2.82, 3 Ag 2.74-2.78
Cu1 0.0973 0.0973 0.3017  9 Ag 2.72-2.85, 3 Cu 2.76-2.83
Cu2 0.5007 0.5007 0.5005  8 Ag 2.72-2.79, 4 Cu 2.76-2.82
Cu3 0.8988 0.8988 0.7077  5 Cu 2.63-2.82, 7 Ag 2.69-2.80
Cu4 0.3040 0.3040 0.8977  7 Ag 2.66-2.82, 5 Cu 2.71-2.81
Cu5 0.9975 0.9975 0.9930  5 Cu 2.63-2.83, 7 Ag 2.72-2.78

As for the energy relative to the elements: 9.8 kJ per mole of atoms.

No. 3
A plane-wave DFT calculation with PBE-GGA was carried out for crystalline CuAg2 at its relaxed geometry.

a = 4.8983 Å, b = 4.8983 Å, c = 6.9322 Å
α = 90.00°, β = 90.00°, γ = 120.00°
With the nearest neighbours (Å) after each atom.
Sites, in units of the cell vectors:
Ag1 0.4317 0.2158 0.0000  5 Cu 2.74-2.87, 7 Ag 2.81-2.88
Ag2 0.1072 0.5536 0.0000  5 Cu 2.80-2.88, 7 Ag 2.81-2.87
Ag3 0.7842 0.5683 0.3333  5 Cu 2.74-2.87, 7 Ag 2.81-2.88
Ag4 0.4464 0.8928 0.3333  5 Cu 2.80-2.88, 7 Ag 2.81-2.87
Ag5 0.7842 0.2158 0.6667  5 Cu 2.74-2.87, 7 Ag 2.81-2.88
Ag6 0.4464 0.5536 0.6667  5 Cu 2.80-2.88, 7 Ag 2.81-2.87
Cu1 0.7861 0.8930 0.0000  10 Ag 2.74-2.88, 2 Cu 2.79
Cu2 0.1070 0.2139 0.3333  10 Ag 2.74-2.88, 2 Cu 2.79
Cu3 0.1070 0.8930 0.6667  10 Ag 2.74-2.88, 2 Cu 2.79

As for the energy relative to the elements: 8.5 kJ per mole of atoms.

No. 4
A plane-wave DFT calculation with PBE-GGA was carried out for crystalline Cu3Ag2 at its relaxed geometry.

a = 7.5305 Å, b = 7.5305 Å, c = 7.0807 Å
α = 103.52°, β = 103.52°, γ = 21.48°
With the nearest neighbours (Å) after each atom.
Sites, in units of the cell vectors:
Ag1 0.4993 0.4993 0.2106  6 Cu 2.70-3.01, 7 Ag 2.81-2.99
Ag2 0.8959 0.8959 0.4512  5 Cu 2.70-2.73, 7 Ag 2.81-2.99
Ag3 0.1041 0.1041 0.5488  5 Cu 2.70-2.73, 7 Ag 2.81-2.99
Ag4 0.5007 0.5007 0.7894  6 Cu 2.70-3.01, 7 Ag 2.81-2.99
Cu1 0.1224 0.1224 0.0638  5 Cu 2.50-2.53, 4 Ag 2.70-2.71
Cu2 0.2964 0.2964 0.1416  7 Cu 2.50-2.59, 2 Ag 2.72
Cu3 0.7083 0.7083 0.3470  8 Cu 2.53-2.81, 3 Ag 2.70-2.73
Cu4 0.2917 0.2917 0.6530  8 Cu 2.53-2.81, 3 Ag 2.70-2.73
Cu5 0.7036 0.7036 0.8584  7 Cu 2.50-2.59, 2 Ag 2.72
Cu6 0.8776 0.8776 0.9362  5 Cu 2.50-2.53, 4 Ag 2.70-2.71

As for the energy relative to the elements: 6.7 kJ per mole of atoms.